# Ac2VPtO6

A relaxed Ac2VPtO6 crystal (PBE+U, Alexandria via LeMat-Bulk).

Cell and atoms, written as POSCAR:
```
Ac2VPtO6
1.0
5.623 0.000 0.000
2.812 4.870 0.000
2.812 1.623 10.432
Ac O V Pt
4 12 2 2
direct
0.873 0.873 0.381 Ac
0.127 0.127 0.619 Ac
0.276 0.276 0.173 Ac
0.724 0.724 0.827 Ac
0.878 0.373 0.377 O
0.373 0.878 0.377 O
0.627 0.627 0.623 O
0.784 0.266 0.166 O
0.784 0.784 0.166 O
0.266 0.784 0.166 O
0.122 0.627 0.623 O
0.373 0.373 0.377 O
0.734 0.216 0.834 O
0.216 0.734 0.834 O
0.627 0.122 0.623 O
0.216 0.216 0.834 O
0.587 0.587 0.240 V
0.413 0.413 0.760 V
0.500 0.500 0.500 Pt
0.000 0.000 0.000 Pt
```

Calculated values
D(E_F), states/eV per atom: 0.38
VASP energy, eV for the cell shown: -144.9